The following is a GGA-PBE calculation of a geometry-optimized Tb4SbPbC structure, from the Alexandria database.

Properties
- M_tot: 0.0 μB per formula unit
- Space group: Cmcm (63)
- Mass density: 8.65 Mg/m³

a = 6.8580 Å, b = 6.8549 Å, c = 8.6788 Å
α = 90.00°, β = 113.27°, γ = 90.00°
Closest atoms and distances in Å follow each position.
Sites, in units of the cell vectors:
C 0.7495 0.2500 0.4991  6 Tb 2.42-2.50
Tb 0.9066 0.2500 0.8132  1 C 2.50
Tb 0.0934 0.7500 0.1868  1 C 2.50
Tb 0.5000 0.0000 0.5000  2 C 2.42
Pb 0.8938 0.7500 0.7876  9 Tb 3.18-3.44
Sb 0.3910 0.2500 0.7820  9 Tb 3.21-3.44
Tb 0.0000 0.0000 0.5000  2 C 2.42
Tb 0.5000 0.5000 0.5000  2 C 2.42
Tb 0.4074 0.7500 0.8148  1 C 2.50
Tb 0.5926 0.2500 0.1852  1 C 2.50
Sb 0.6090 0.7500 0.2180  9 Tb 3.21-3.44
C 0.2505 0.7500 0.5009  6 Tb 2.42-2.50
Pb 0.1062 0.2500 0.2124  9 Tb 3.18-3.44
Tb 0.0000 0.5000 0.5000  2 C 2.42

***

The following is a GGA-PBE calculation of a geometry-optimized Sb2TePbC structure, from the Alexandria database.

Properties
- M_tot: 0.6 μB per formula unit
- Space group: P4/mmm (123)
- Mass density: 4.69 Mg/m³

a = 5.9540 Å, b = 5.9540 Å, c = 5.8927 Å
α = 90.00°, β = 90.00°, γ = 90.00°
Closest atoms and distances in Å follow each position.
Sites, in units of the cell vectors:
Pb 0.0000 0.0000 0.0000  2 Te 2.95, 4 Sb 2.98
Sb 0.5000 0.0000 0.0000  2 Pb 2.98
C 0.5000 0.5000 0.5000  8 Sb 4.19, 4 Te 4.21
Te 0.0000 0.0000 0.5000  2 Pb 2.95
Sb 0.0000 0.5000 0.0000  2 Pb 2.98

***

The following is a GGA-PBE calculation of a geometry-optimized Sb2TePbC structure, from the Alexandria database.

Properties
- M_tot: 0.0 μB per formula unit
- Space group: P4/mmm (123)
- Mass density: 6.85 Mg/m³

a = 4.9421 Å, b = 4.9421 Å, c = 5.8632 Å
α = 90.00°, β = 90.00°, γ = 90.00°
Closest atoms and distances in Å follow each position.
Sites, in units of the cell vectors:
Sb 0.0000 0.5000 0.0000  2 C 2.47
C 0.0000 0.0000 0.0000  4 Sb 2.47
Sb 0.5000 0.0000 0.0000  2 C 2.47
Pb 0.5000 0.5000 0.5000  4 Te 3.49, 8 Sb 3.83
Te 0.0000 0.0000 0.5000  2 C 2.93

***

| no. | formation energy without anion corrections (meV per atom) |
| --- | --- |
| 1 | -662 |
| 2 | 2191 |
| 3 | 937 |